Entry 1:
Cs3K8H | PBE-GGA | optimized geometry

The space group is P6_3mc (No. 186) and the conventional cell measures 13.4966, 13.4966 and 11.3441 Å, with angles of 90.00, 90.00 and 120.00 degrees. Symmetry generates all atoms from Cs at (0.1498, 0.2996, 0.0000), K at (0.0000, 0.0000, 0.2483), K at (0.1086, 0.5543, 0.7060), K at (0.2303, 0.4606, 0.4039), K at (0.3333, 0.6667, 0.0649) and H at (0.3333, 0.6667, 0.5454).

The calculation puts the total DFT energy (no corrections) at -1.18 eV/atom. As for the total magnetization: 0.00 μB per formula unit.

---

Entry 2:
NaNpPdSe3 | PBE-GGA | optimized geometry

The space group is P2_1/m (No. 11) and the conventional cell measures 8.100, 4.109 and 9.339 Å, with angles of 90.00, 103.44 and 90.00 degrees. Symmetry generates all atoms from Na at (0.196, 0.250, 0.254), Np at (0.318, 0.750, 0.836), Pd at (0.096, 0.250, 0.580), Se at (0.092, 0.250, 0.859), Se at (0.253, 0.750, 0.533) and Se at (0.432, 0.750, 0.152).

For the uncorrected formation energy, the calculation gives -5.46 eV/f.u. The calculation puts the total DFT energy (no corrections) at -5.89 eV/atom. As for the total magnetization: 2.62 μB per formula unit.

---

Entry 3:
CdReSe2 | PBE-GGA | optimized geometry

The space group is P4/mmm (No. 123) and the conventional cell measures 3.050, 3.050 and 9.424 Å, with angles of 90.00, 90.00 and 90.00 degrees. Symmetry generates all atoms from Cd at (0.000, 0.000, 0.000), Re at (0.000, 0.000, 0.500) and Se at (0.500, 0.500, 0.334).

For the uncorrected formation energy, the calculation gives 0.42 eV/f.u. The calculation puts the total DFT energy (no corrections) at -4.98 eV/atom. As for the total magnetization: 0.00 μB per formula unit.